# 1
Compound: UPa
Source: Alexandria
Functional: PBE-GGA
Structure: relaxed

## Properties
energy of formation = 589 meV/atom
crystal system = monoclinic
offset from the most stable computed form = 0.529 eV per atom

Cell lengths 9.817, 3.904, 5.814 Å; angles 90.00, 116.85, 90.00 degrees
Space group C2/m (No. 12)
One atom of each set of equivalent atoms:
U (0.093, 0.000, 0.235) x4
Pa (0.226, 0.000, 0.767) x4

***

# 2
Compound: UPa
Source: Alexandria
Functional: PBE-GGA
Structure: relaxed

## Properties
energy of formation = 236 meV/atom
crystal system = orthorhombic
offset from the most stable computed form = 0.176 eV per atom

Cell lengths 2.915, 2.977, 10.241 Å; angles 90.00, 90.00, 90.00 degrees
Space group Pmmn (No. 59, origin choice 2)
One atom of each set of equivalent atoms:
U (0.250, 0.250, 0.118) x2
Pa (0.250, 0.750, 0.374) x2

***

# 3
Compound: UPa2
Source: Alexandria
Functional: PBE-GGA
Structure: relaxed

## Properties
energy of formation = 57 meV/atom
crystal system = monoclinic
offset from the most stable computed form = 0.000 eV per atom

Cell lengths 3.245, 4.519, 9.736 Å; angles 90.00, 95.67, 90.00 degrees
Space group P2_1/m (No. 11)
One atom of each set of equivalent atoms:
U (0.152, 0.250, 0.053) x2
Pa (0.232, 0.250, 0.408) x2
Pa (0.306, 0.250, 0.761) x2

***

# 4
Compound: UPa3
Source: Alexandria
Functional: PBE-GGA
Structure: relaxed

## Properties
energy of formation = 75 meV/atom
crystal system = monoclinic
offset from the most stable computed form = 0.000 eV per atom

Cell lengths 6.349, 3.858, 7.693 Å; angles 90.00, 91.68, 90.00 degrees
Space group P2_1/m (No. 11)
One atom of each set of equivalent atoms:
U (0.094, 0.250, 0.099) x2
Pa (0.122, 0.250, 0.629) x2
Pa (0.370, 0.750, 0.371) x2
Pa (0.391, 0.750, 0.876) x2

***

# 5
Compound: UPa3
Source: Alexandria
Functional: PBE-GGA
Structure: relaxed

## Properties
energy of formation = 86 meV/atom
crystal system = orthorhombic
offset from the most stable computed form = 0.011 eV per atom

Cell lengths 3.008, 5.258, 5.869 Å; angles 90.00, 90.00, 90.00 degrees
Space group Pmm2 (No. 25)
One atom of each set of equivalent atoms:
U (0.000, 0.000, 0.000) x1
Pa (0.000, 0.500, 0.213) x1
Pa (0.500, 0.000, 0.495) x1
Pa (0.500, 0.500, 0.723) x1

***

# 6
Compound: UPa
Source: Alexandria
Functional: PBE-GGA
Structure: relaxed

## Properties
energy of formation = 60 meV/atom
crystal system = monoclinic
offset from the most stable computed form = 0.000 eV per atom

Cell lengths 3.216, 3.918, 7.216 Å; angles 90.00, 94.36, 90.00 degrees
Space group P2_1/m (No. 11)
One atom of each set of equivalent atoms:
U (0.173, 0.250, 0.097) x2
Pa (0.271, 0.250, 0.627) x2

***

# 7
Compound: U3Pa
Source: Alexandria
Functional: PBE-GGA
Structure: relaxed

## Properties
energy of formation = 215 meV/atom
crystal system = tetragonal
offset from the most stable computed form = 0.141 eV per atom

Cell lengths 4.028, 4.028, 10.517 Å; angles 90.00, 90.00, 90.00 degrees
Space group I4/mmm (No. 139)
One atom of each set of equivalent atoms:
U (0.000, 0.000, 0.000) x2
U (0.000, 0.500, 0.250) x4
Pa (0.000, 0.000, 0.500) x2

***

# 8
Compound: UPa2
Source: Alexandria
Functional: PBE-GGA
Structure: relaxed

## Properties
energy of formation = 92 meV/atom
crystal system = monoclinic
offset from the most stable computed form = 0.035 eV per atom

Cell lengths 12.025, 3.157, 7.778 Å; angles 90.00, 109.12, 90.00 degrees
Space group C2/m (No. 12)
One atom of each set of equivalent atoms:
U (0.177, 0.000, 0.075) x4
Pa (0.008, 0.500, 0.237) x4
Pa (0.167, 0.000, 0.592) x4

***

# 9
Compound: U3Pa
Source: Alexandria
Functional: PBE-GGA
Structure: relaxed

## Properties
energy of formation = 74 meV/atom
crystal system = orthorhombic
offset from the most stable computed form = 0.000 eV per atom

Cell lengths 2.855, 4.983, 5.883 Å; angles 90.00, 90.00, 90.00 degrees
Space group Pmm2 (No. 25)
One atom of each set of equivalent atoms:
U (0.000, 0.000, 0.000) x1
U (0.000, 0.500, 0.192) x1
U (0.500, 0.500, 0.706) x1
Pa (0.500, 0.000, 0.496) x1

***

# 10
Compound: U4Pa
Source: Alexandria
Functional: PBE-GGA
Structure: relaxed

## Properties
energy of formation = 1242 meV/atom
crystal system = cubic

Cell lengths 5.113, 5.113, 5.113 Å; angles 90.00, 90.00, 90.00 degrees
Space group Pm-3m (No. 221)
One atom of each set of equivalent atoms:
U (0.000, 0.000, 0.000) x1
U (0.000, 0.500, 0.500) x3
Pa (0.500, 0.500, 0.500) x1

***

# 11
Compound: UPa2
Source: Alexandria
Functional: PBE-GGA
Structure: relaxed

## Properties
energy of formation = 413 meV/atom
crystal system = cubic
offset from the most stable computed form = 0.356 eV per atom

Cell lengths 8.386, 8.386, 8.386 Å; angles 90.00, 90.00, 90.00 degrees
Space group Fd-3m (No. 227, origin choice 2)
One atom of each set of equivalent atoms:
U (0.125, 0.125, 0.125) x8
Pa (0.000, 0.000, 0.500) x16

***

# 12
Compound: UPa3
Source: Alexandria
Functional: PBE-GGA
Structure: relaxed

## Properties
energy of formation = 89 meV/atom
crystal system = orthorhombic
offset from the most stable computed form = 0.015 eV per atom

Cell lengths 3.157, 11.202, 5.363 Å; angles 90.00, 90.00, 90.00 degrees
Space group Imm2 (No. 44)
One atom of each set of equivalent atoms:
U (0.000, 0.000, 0.000) x2
Pa (0.000, 0.256, 0.621) x4
Pa (0.000, 0.500, 0.013) x2

***

# 13
Compound: UPa3
Source: Alexandria
Functional: PBE-GGA
Structure: relaxed

## Properties
energy of formation = 254 meV/atom
crystal system = cubic
offset from the most stable computed form = 0.179 eV per atom

Cell lengths 7.223, 7.223, 7.223 Å; angles 90.00, 90.00, 90.00 degrees
Space group Fm-3m (No. 225)
One atom of each set of equivalent atoms:
U (0.000, 0.000, 0.000) x4
Pa (0.000, 0.000, 0.500) x4
Pa (0.250, 0.250, 0.250) x8

***

# 14
Compound: UPa3
Source: Alexandria
Functional: PBE-GGA
Structure: relaxed

## Properties
energy of formation = 116 meV/atom
crystal system = cubic
offset from the most stable computed form = 0.042 eV per atom

Cell lengths 4.605, 4.605, 4.605 Å; angles 90.00, 90.00, 90.00 degrees
Space group Pm-3m (No. 221)
One atom of each set of equivalent atoms:
U (0.000, 0.000, 0.000) x1
Pa (0.000, 0.500, 0.500) x3

***

# 15
Compound: UPa
Source: Alexandria
Functional: PBE-GGA
Structure: relaxed

## Properties
energy of formation = 286 meV/atom
crystal system = cubic
offset from the most stable computed form = 0.226 eV per atom

Cell lengths 3.548, 3.548, 3.548 Å; angles 90.00, 90.00, 90.00 degrees
Space group Pm-3m (No. 221)
One atom of each set of equivalent atoms:
U (0.000, 0.000, 0.000) x1
Pa (0.500, 0.500, 0.500) x1

***

# 16
Compound: UPa5
Source: Alexandria
Functional: PBE-GGA
Structure: relaxed

## Properties
energy of formation = 76 meV/atom
crystal system = orthorhombic
offset from the most stable computed form = 0.003 eV per atom

Cell lengths 4.628, 13.914, 4.589 Å; angles 90.00, 90.00, 90.00 degrees
Space group Cmmm (No. 65)
One atom of each set of equivalent atoms:
U (0.000, 0.000, 0.000) x2
Pa (0.000, 0.166, 0.500) x4
Pa (0.000, 0.334, 0.000) x4
Pa (0.000, 0.500, 0.500) x2

***

# 17
Compound: U2Pa13
Source: Alexandria
Functional: PBE-GGA
Structure: relaxed

## Properties
energy of formation = 725 meV/atom
crystal system = trigonal

Cell lengths 10.7532, 10.7532, 12.4510 Å; angles 90.00, 90.00, 120.00 degrees
Space group R-3m (No. 166, hexagonal axes)
One atom of each set of equivalent atoms:
U (0.0000, 0.0000, 0.2268) x6
Pa (0.0000, 0.0000, 0.0000) x3
Pa (0.0358, 0.5179, 0.7396) x18
Pa (0.0999, 0.1998, 0.3885) x18

***

# 18
Compound: U3Pa
Source: Alexandria
Functional: PBE-GGA
Structure: relaxed

## Properties
energy of formation = 150 meV/atom
crystal system = orthorhombic
offset from the most stable computed form = 0.076 eV per atom

Cell lengths 3.015, 5.305, 10.657 Å; angles 90.00, 90.00, 90.00 degrees
Space group Immm (No. 71)
One atom of each set of equivalent atoms:
U (0.000, 0.000, 0.000) x2
U (0.000, 0.500, 0.261) x4
Pa (0.000, 0.000, 0.500) x2

***

# 19
Compound: UPa2V
Source: Alexandria
Functional: PBE-GGA
Structure: relaxed

## Properties
energy of formation = 203 meV/atom
crystal system = tetragonal
offset from the most stable computed form = 0.017 eV per atom

Cell lengths 3.503, 3.503, 6.744 Å; angles 90.00, 90.00, 90.00 degrees
Space group P4/mmm (No. 123)
One atom of each set of equivalent atoms:
U (0.000, 0.000, 0.000) x1
Pa (0.500, 0.500, 0.258) x2
V (0.000, 0.000, 0.500) x1

***

# 20
Compound: UPaV
Source: Alexandria
Functional: PBE-GGA
Structure: relaxed

## Properties
energy of formation = 563 meV/atom
crystal system = tetragonal
offset from the most stable computed form = 0.388 eV per atom

Cell lengths 2.741, 2.741, 15.499 Å; angles 90.00, 90.00, 90.00 degrees
Space group I4mm (No. 107)
One atom of each set of equivalent atoms:
U (0.000, 0.000, 0.000) x2
Pa (0.000, 0.000, 0.177) x2
V (0.000, 0.000, 0.836) x2

***

Quick rundown of mass density, same order as above: 15.67; 17.53; 16.37; 16.42; 16.66; 17.19; 18.39; 16.67; 18.75; 14.70; 15.77; 16.30; 16.41; 15.84; 17.43; 15.66; 13.90; 18.42; 15.07; 14.83 g cm⁻³